## Li3CoF6 (GGA+U)

Data for a geometry-optimized Li3CoF6 structure.

Cell lengths 7.5687, 7.5687, 7.5687 Å; angles 90.00, 90.00, 90.00 degrees
With the nearest neighbours (Å) after each atom.
Space group Fm-3m (No. 225)
One atom of each set of equivalent atoms:
Li 0.0000 0.0000 0.0000  6 F 1.94
Li 0.2500 0.2500 0.2500  12 F 2.68
Co 0.0000 0.0000 0.5000  6 F 1.84
F 0.0000 0.0000 0.2565  1 Co 1.84, 1 Li 1.94

Calculated values
Calculated density in kg/m³: 2968
V in Å³/f.u.: 108
Energy above the lowest structure with this stoichiometry in meV per atom: 153
D(E_F) in states/eV per cell: 0.00